Compound: Li2DyHoS4
Source: Alexandria
Functional: PBE
Structure: optimized geometry

a b c (Å): 3.906 6.762 6.567
angles (deg): 110.05 90.00 90.00
Element x y z (fractional)
1 Li 0.500 0.000 0.500
2 Li 0.000 0.500 0.500
3 Dy 0.500 0.500 0.000
4 S 0.000 0.751 0.250
5 S 0.000 0.249 0.750
6 S 0.500 0.751 0.750
7 S 0.500 0.249 0.250
8 Ho 0.000 0.000 0.000

Output
symmetry = P2/m (10)
E = -5.542 eV per atom
E_form (uncorrected) = -1853 meV/atom
density of states at the Fermi level = 0.0000 states/eV/atom